Entry 1:
This record from Alexandria describes a crystal of FeTc2Rh relaxed with PBEsol. The functional is SCAN.

Cell lengths 3.752, 3.752, 4.537 Å; angles 114.42, 114.42, 90.00 degrees
Each line ends with the local moment (μB).
Positions (direct):
1 Fe 0.500 0.500 0.000  2.65
2 Rh 0.250 0.750 0.500  -0.06
3 Tc 0.000 0.000 0.000  -0.20
4 Tc 0.750 0.250 0.500  -0.31

polymorph energy (0 for the lowest one) = 0 meV/atom
ΔE_f = 0.3 kJ/mol of atoms

---

Entry 2:
This record from Alexandria describes a crystal of FeTeRh2 relaxed with PBEsol. The functional is SCAN.

Cell lengths 3.285, 3.285, 5.623 Å; angles 90.00, 90.00, 90.00 degrees
Each line ends with the local moment (μB).
Positions (direct):
1 Fe 0.500 0.500 0.500  3.29
2 Rh 0.000 0.000 0.733  0.22
3 Rh 0.000 0.000 0.267  0.22
4 Te 0.500 0.500 0.000  -0.02

E_form (uncorrected) = -0.0711 eV per atom

---

Entry 3:
This record from Alexandria describes a crystal of FeTeRh2 relaxed with PBEsol. The functional is SCAN.

Cell lengths 3.438, 3.438, 5.278 Å; angles 90.00, 90.00, 90.00 degrees
Each line ends with the local moment (μB).
Positions (direct):
1 Fe 0.500 0.500 0.795  3.36
2 Rh 0.000 0.000 0.966  0.55
3 Rh 0.500 0.500 0.266  0.17
4 Te 0.000 0.000 0.472  0.00

E_form (uncorrected) = -0.0228 eV per atom

---

Entry 4:
This record from Alexandria describes a crystal of Fe2TeRh2 relaxed with PBEsol. The functional is SCAN.

Cell lengths 3.753, 3.753, 6.144 Å; angles 107.78, 107.78, 90.00 degrees
Each line ends with the local moment (μB).
Positions (direct):
1 Te 0.000 0.000 0.000  -0.02
2 Rh 0.250 0.750 0.500  0.73
3 Rh 0.750 0.250 0.500  0.73
4 Fe 0.393 0.393 0.785  2.99
5 Fe 0.607 0.607 0.215  2.99

E_form (uncorrected) = 0.2474 eV per atom

---

Entry 5:
This record from Alexandria describes a crystal of TlFeRh relaxed with PBEsol. The functional is SCAN.

Cell lengths 2.987, 2.987, 5.669 Å; angles 105.28, 105.28, 90.00 degrees
Each line ends with the local moment (μB).
Positions (direct):
1 Fe 0.016 0.016 0.032  3.16
2 Rh 0.649 0.649 0.298  0.71
3 Tl 0.335 0.335 0.670  -0.04

polymorph energy (0 for the lowest one) = 0 meV/atom
ΔE_f = 19.8 kJ/mol of atoms

---

Entry 6:
This record from Alexandria describes a crystal of TlFeRh relaxed with PBEsol. The functional is SCAN.

Cell lengths 4.277, 4.277, 4.277 Å; angles 60.00, 60.00, 60.00 degrees
Each line ends with the local moment (μB).
Positions (direct):
1 Fe 0.500 0.500 0.500  3.28
2 Rh 0.250 0.250 0.250  0.34
3 Tl 0.000 0.000 0.000  -0.08

polymorph energy (0 for the lowest one) = 134 meV/atom
ΔE_f = 32.8 kJ/mol of atoms

---

V for the records above, in order: 13.0 15.2 15.6 15.6 15.6 18.4 Å³ per atom